{"formula": "NaEu3Si", "functional": "PBE", "state": "optimized geometry", "spacegroup": "No. 221", "vol_a3_per_atom": 42.1, "density_g_cm3": 4.00, "energy_ev_per_cell": -37.972, "lattice_angstrom": [[-2.2692, -1.5318, -5.2834], [5.4969, -0.8509, -2.1142], [-0.2113, -5.6868, 1.7395]], "species": ["Eu", "Eu", "Eu", "Si", "Na"], "fractional_positions": [[0.0000, 0.0000, 0.5000], [0.5000, 0.0000, 0.0000], [0.0000, 0.5000, 0.0000], [0.0000, 0.0000, 0.0000], [0.5000, 0.5000, 0.5000]]}



{"formula": "CaMoPtI2", "functional": "PBE", "state": "optimized geometry", "spacegroup": "No. 123", "vol_a3_per_atom": 33.5, "density_g_cm3": 5.80, "energy_ev_per_cell": -18.706, "lattice_angstrom": [[5.6013, 0.0000, 0.0000], [0.0000, 5.3394, 0.0000], [0.0000, 0.0000, 5.6013]], "species": ["I", "I", "Ca", "Mo", "Pt"], "fractional_positions": [[0.5000, 0.0000, 0.0000], [0.0000, 0.0000, 0.5000], [0.0000, 0.5000, 0.0000], [0.5000, 0.5000, 0.5000], [0.0000, 0.0000, 0.0000]]}



{"formula": "Ac6PdPt2Au", "functional": "PBE", "state": "optimized geometry", "spacegroup": "No. 146", "vol_a3_per_atom": 36.9, "density_g_cm3": 9.26, "delta_e_f_ev_per_fu": -7.7, "lattice_angstrom": [[-1.5826, -0.8921, -7.5448], [5.3412, -3.0160, -4.7552], [-1.2573, -7.7847, -2.8064]], "species": ["Au", "Pt", "Pt", "Ac", "Ac", "Ac", "Ac", "Ac", "Ac", "Pd"], "fractional_positions": [[0.8214, 0.8215, 0.5357], [0.5076, 0.5077, 0.4770], [0.0034, 0.0032, 0.9901], [0.1170, 0.3949, 0.7488], [0.5987, 0.2410, 0.2473], [0.2412, 0.9131, 0.2472], [0.9128, 0.5988, 0.2472], [0.7393, 0.1172, 0.7486], [0.3951, 0.7391, 0.7487], [0.3251, 0.3251, 0.0246]]}



{"formula": "CsTlTe2O8", "functional": "PBE", "state": "optimized geometry", "spacegroup": "No. 147", "vol_a3_per_atom": 21.3, "density_g_cm3": 4.69, "energy_ev_per_cell": -60.213, "lattice_angstrom": [[-5.1871, 1.8937, -0.0599], [2.2419, -2.0568, -4.6086], [-3.2360, -8.7893, 2.3485]], "species": ["Tl", "Te", "Te", "O", "O", "O", "O", "O", "O", "O", "O", "Cs"], "fractional_positions": [[0.0000, 0.0000, 0.5000], [0.3333, 0.6667, 0.7044], [0.6667, 0.3333, 0.2956], [0.6900, 0.0254, 0.3556], [0.3354, 0.3100, 0.3556], [0.6667, 0.3333, 0.1067], [0.3333, 0.6667, 0.8933], [0.6646, 0.6900, 0.6444], [0.9746, 0.6646, 0.3556], [0.0254, 0.3354, 0.6444], [0.3100, 0.9746, 0.6444], [0.0000, 0.0000, 0.0000]]}